No. 1
## Sr2FeIr (PBE)

Data for crystalline Sr2FeIr at its relaxed geometry.

Values from the calculation:
- DFT formation energy: 0.210 eV/atom

Cell lengths 3.503, 3.503, 8.930 Å; angles 90.00, 90.00, 90.00 degrees
Space group P4mm (No. 99)
Inequivalent atoms, fractional coordinates:
Sr 0.000 0.000 0.000 x1
Sr 0.500 0.500 0.410 x1
Fe 0.000 0.000 0.675 x1
Ir 0.500 0.500 0.743 x1

No. 2
## SrHf2TiNi (PBE)

Data for crystalline SrHf2TiNi at its relaxed geometry.

Values from the calculation:
- DFT formation energy: 1.248 eV/atom

Cell lengths 4.887, 4.887, 5.610 Å; angles 90.00, 90.00, 90.00 degrees
Space group P4/mmm (No. 123)
Inequivalent atoms, fractional coordinates:
Sr 0.000 0.000 0.000 x1
Hf 0.000 0.500 0.500 x2
Ti 0.000 0.000 0.500 x1
Ni 0.500 0.500 0.000 x1

No. 3
## LaScPt2 (PBE)

Data for crystalline LaScPt2 at its relaxed geometry.

Values from the calculation:
- DFT formation energy: -1.123 eV/atom

Cell lengths 3.453, 3.366, 7.211 Å; angles 90.00, 90.07, 90.00 degrees
Space group P2/m (No. 10)
Inequivalent atoms, fractional coordinates:
La 0.000 0.000 0.000 x1
Sc 0.000 0.000 0.500 x1
Pt 0.499 0.500 0.710 x2

No. 4
## MnTePtW2 (PBE)

Data for crystalline MnTePtW2 at its relaxed geometry.

Cell lengths 4.851, 4.851, 5.349 Å; angles 90.00, 90.00, 90.00 degrees
Space group P4/mmm (No. 123)
Inequivalent atoms, fractional coordinates:
Mn 0.000 0.000 0.000 x1
Te 0.500 0.500 0.000 x1
Pt 0.500 0.500 0.500 x1
W 0.000 0.500 0.500 x2

No. 5
## La3DyEr3 (PBE)

Data for crystalline La3DyEr3 at its relaxed geometry.

Values from the calculation:
- DFT formation energy: 0.137 eV/atom

Cell lengths 9.4347, 9.4347, 18.7203 Å; angles 90.00, 90.00, 120.00 degrees
Space group R-3 (No. 148, hexagonal axes)
Inequivalent atoms, fractional coordinates:
La 0.0517 0.8074 0.0777 x18
Dy 0.0000 0.0000 0.4084 x6
Er 0.0511 0.8161 0.2609 x18

No. 6
## ZrOsRu2C (PBE)

Data for crystalline ZrOsRu2C at its relaxed geometry.

Values from the calculation:
- DFT formation energy: -0.252 eV/atom

Cell lengths 4.117, 4.117, 4.105 Å; angles 90.00, 90.00, 90.00 degrees
Space group P4/mmm (No. 123)
Inequivalent atoms, fractional coordinates:
Zr 0.000 0.000 0.000 x1
Os 0.500 0.500 0.000 x1
Ru 0.000 0.500 0.500 x2
C 0.500 0.500 0.500 x1

No. 7
## Nd4NiSb2 (PBE)

Data for crystalline Nd4NiSb2 at its relaxed geometry.

Cell lengths 7.041, 6.514, 9.411 Å; angles 90.00, 108.57, 90.00 degrees
Space group P2_1/m (No. 11)
Inequivalent atoms, fractional coordinates:
Nd 0.015 0.005 0.274 x4
Nd 0.384 0.750 0.075 x2
Nd 0.442 0.750 0.633 x2
Ni 0.341 0.750 0.336 x2
Sb 0.216 0.250 0.042 x2
Sb 0.274 0.250 0.581 x2

No. 8
## Rb3Li2IrO6 (PBE)

Data for crystalline Rb3Li2IrO6 at its relaxed geometry.

Cell lengths 5.721, 10.116, 6.427 Å; angles 90.00, 106.03, 90.00 degrees
Space group C2/m (No. 12)
Inequivalent atoms, fractional coordinates:
Rb 0.000 0.000 0.000 x2
Rb 0.000 0.323 0.000 x4
Li 0.000 0.166 0.500 x4
Ir 0.000 0.500 0.500 x2
O 0.205 0.361 0.667 x8
O 0.216 0.500 0.313 x4

In eV per atom, the E values for the records above are, in order, -4.961, -5.805, -6.958, -6.921, -4.588, -9.763, -5.399, -4.941.